Entry 1:
Entry from Alexandria: a relaxed Ca2CeZn4 crystal (PBE-GGA).

Lattice parameters (Å, degrees): 4.5629 3.7249 10.2662 100.45 102.84 90.00
Fractional positions:
Ca (0.8103, 0.8103, 0.6206)
Ca (0.1897, 0.1897, 0.3794)
Zn (0.6342, 0.6342, 0.2683)
Zn (0.3658, 0.3658, 0.7317)
Zn (0.0652, 0.5652, 0.1304)
Zn (0.9348, 0.4348, 0.8696)
Ce (0.5000, 0.0000, 0.0000)

Values from the calculation:
Its crystal system is orthorhombic. The calculated density comes out at 4.79 g/cm3. The total energy is -2.384 eV per atom. The calculation puts the volume at 23.88 Å³ per atom. Its total magnetization is 0.89 μB per formula unit. For the calculated formation energy, the calculation gives -0.236 eV/atom.

---

Entry 2:
Entry from Alexandria: a relaxed Mg12Ga5Tc3 crystal (PBE-GGA).

Lattice parameters (Å, degrees): 13.7467 13.7467 13.7467 109.47 109.47 109.47
Fractional positions:
Tc (0.7500, 0.3750, 0.1250)
Tc (0.8750, 0.7500, 0.1250)
Tc (0.3750, 0.7500, 0.6250)
Tc (0.2500, 0.1250, 0.3750)
Tc (0.8750, 0.1250, 0.2500)
Tc (0.3750, 0.6250, 0.2500)
Tc (0.6250, 0.3750, 0.7500)
Tc (0.1250, 0.8750, 0.7500)
Tc (0.7500, 0.8750, 0.6250)
Tc (0.6250, 0.2500, 0.3750)
Tc (0.1250, 0.2500, 0.8750)
Tc (0.2500, 0.6250, 0.8750)
Ga (0.1250, 0.3750, 0.2500)
Ga (0.0000, 0.5000, 0.0000)
Ga (0.0000, 0.0000, 0.0000)
Ga (0.3750, 0.2500, 0.1250)
Ga (0.5000, 0.0000, 0.5000)
Ga (0.5000, 0.5000, 0.0000)
Ga (0.1250, 0.7500, 0.3750)
Ga (0.7500, 0.1250, 0.8750)
Ga (0.7500, 0.6250, 0.3750)
Ga (0.3750, 0.1250, 0.7500)
Ga (0.6250, 0.8750, 0.2500)
Ga (0.5000, 0.5000, 0.5000)
Ga (0.5000, 0.0000, 0.0000)
Ga (0.0000, 0.0000, 0.5000)
Ga (0.2500, 0.3750, 0.6250)
Ga (0.2500, 0.8750, 0.1250)
Ga (0.0000, 0.5000, 0.5000)
Ga (0.8750, 0.2500, 0.6250)
Ga (0.6250, 0.7500, 0.8750)
Ga (0.8750, 0.6250, 0.7500)
Mg (0.7312, 0.1387, 0.0680)
Mg (0.3368, 0.5680, 0.4293)
Mg (0.9320, 0.3613, 0.2688)
Mg (0.5680, 0.2312, 0.1387)
Mg (0.5925, 0.7312, 0.6632)
Mg (0.9320, 0.5707, 0.1632)
Mg (0.3368, 0.7688, 0.4075)
Mg (0.0707, 0.9075, 0.1387)
Mg (0.5707, 0.9320, 0.6632)
Mg (0.7312, 0.5925, 0.1632)
Mg (0.7688, 0.4320, 0.3613)
Mg (0.8368, 0.9293, 0.0680)
Mg (0.1387, 0.7312, 0.5680)
Mg (0.3613, 0.4293, 0.0925)
Mg (0.0925, 0.9293, 0.3613)
Mg (0.4075, 0.1387, 0.5707)
Mg (0.0925, 0.1632, 0.2312)
Mg (0.4320, 0.6632, 0.0707)
Mg (0.8368, 0.9075, 0.2688)
Mg (0.1387, 0.4075, 0.0707)
Mg (0.3613, 0.9320, 0.7688)
Mg (0.5707, 0.6387, 0.4075)
Mg (0.9293, 0.8368, 0.5680)
Mg (0.7688, 0.3368, 0.9075)
Mg (0.4293, 0.3613, 0.5925)
Mg (0.0707, 0.1632, 0.4320)
Mg (0.2312, 0.6632, 0.0925)
Mg (0.1632, 0.0925, 0.7312)
Mg (0.6387, 0.0680, 0.2312)
Mg (0.8613, 0.5925, 0.9293)
Mg (0.5680, 0.3368, 0.9293)
Mg (0.5925, 0.8613, 0.4293)
Mg (0.9075, 0.8368, 0.7688)
Mg (0.9075, 0.0707, 0.6387)
Mg (0.8613, 0.2688, 0.4320)
Mg (0.1632, 0.0707, 0.9320)
Mg (0.6387, 0.5707, 0.9075)
Mg (0.4293, 0.0680, 0.3368)
Mg (0.2688, 0.4075, 0.8368)
Mg (0.2312, 0.5680, 0.6387)
Mg (0.9293, 0.0925, 0.8613)
Mg (0.6632, 0.2312, 0.5925)
Mg (0.4320, 0.7688, 0.8613)
Mg (0.0680, 0.4293, 0.8368)
Mg (0.4075, 0.2688, 0.3368)
Mg (0.0680, 0.6387, 0.7312)
Mg (0.6632, 0.4320, 0.5707)
Mg (0.2688, 0.8613, 0.9320)

Values from the calculation:
Its crystal system is cubic. The calculated density comes out at 3.10 g/cm3. The total energy is -2.660 eV per atom. The calculation puts the volume at 25.00 Å³ per atom. Its total magnetization is 5.18 μB per formula unit. For the calculated formation energy, the calculation gives 0.608 eV/atom.

---

Entry 3:
Entry from Alexandria: a relaxed CaInGa2Si crystal (PBE-GGA).

Lattice parameters (Å, degrees): 5.4921 5.8022 5.4921 90.00 90.00 90.00
Fractional positions:
Ca (0.0000, 0.0000, 0.0000)
Si (0.5000, 0.5000, 0.5000)
Ga (0.0000, 0.0000, 0.5000)
Ga (0.5000, 0.0000, 0.0000)
In (0.0000, 0.5000, 0.0000)

Values from the calculation:
Its crystal system is tetragonal. The calculated density comes out at 3.06 g/cm3. The total energy is -2.192 eV per atom. The calculation puts the volume at 35.00 Å³ per atom. Its total magnetization is 0.00 μB per formula unit. The calculation puts the formation energy without anion corrections at 24.2 kcal/mol of atoms.

---

Entry 4:
Entry from Alexandria: a relaxed SrThFeN3 crystal (PBE-GGA).

Lattice parameters (Å, degrees): 3.5806 7.5491 7.6314 97.38 90.00 90.00
Fractional positions:
Sr (0.7500, 0.8407, 0.8181)
Sr (0.2500, 0.1593, 0.1819)
Th (0.2500, 0.6375, 0.1788)
Th (0.7500, 0.3625, 0.8212)
Fe (0.2500, 0.0712, 0.5885)
Fe (0.7500, 0.9288, 0.4115)
N (0.2500, 0.8508, 0.4650)
N (0.7500, 0.8638, 0.1656)
N (0.7500, 0.4177, 0.1330)
N (0.7500, 0.1492, 0.5350)
N (0.2500, 0.5823, 0.8670)
N (0.2500, 0.1362, 0.8344)

Values from the calculation:
Its crystal system is monoclinic. The calculated density comes out at 6.78 g/cm3. The total energy is -7.969 eV per atom. The calculation puts the volume at 17.05 Å³ per atom. Its total magnetization is 0.88 μB per formula unit. The calculation puts the formation energy without anion corrections at -20.3 kcal/mol of atoms.

---

Entry 5:
Entry from Alexandria: a relaxed K2NaCdSe crystal (PBE-GGA).

Lattice parameters (Å, degrees): 6.3829 6.3829 5.5019 90.00 90.00 90.00
Fractional positions:
Na (0.0000, 0.0000, 0.5000)
K (0.0000, 0.5000, 0.0000)
K (0.5000, 0.0000, 0.0000)
Se (0.0000, 0.0000, 0.0000)
Cd (0.5000, 0.5000, 0.5000)

Values from the calculation:
Its crystal system is tetragonal. The calculated density comes out at 2.17 g/cm3. The total energy is -2.090 eV per atom. The calculation puts the volume at 44.83 Å³ per atom. Its total magnetization is 0.20 μB per formula unit. The calculation puts the formation energy without anion corrections at -11.7 kcal/mol of atoms.

---

Entry 6:
Entry from Alexandria: a relaxed SrSc2Hg crystal (PBE-GGA).

Lattice parameters (Å, degrees): 3.6349 3.6442 9.3464 67.05 90.00 90.00
Fractional positions:
Hg (0.5000, 0.7019, 0.7983)
Sc (0.0000, 0.0226, 0.9775)
Sc (0.5000, 0.3034, 0.1964)
Sr (0.0000, 0.4721, 0.5278)

Values from the calculation:
Its crystal system is tetragonal. The calculated density comes out at 5.51 g/cm3. The total energy is -3.777 eV per atom. The calculation puts the volume at 28.50 Å³ per atom. Its total magnetization is 1.10 μB per formula unit. For the calculated formation energy, the calculation gives -0.116 eV/atom.

---

no.,density of states at the Fermi level (states/eV/f.u.)
1,9.959
2,17.264
3,3.805
4,1.966
5,2.818
6,4.859